Material: LaHg2S
Method: DFT, PBE
State: relaxed

abc: 4.219 4.222 11.689
angles: 99.71 90.00 90.00
Sites, in units of the cell vectors:
1 La 0.750 0.816 0.642
2 La 0.250 0.184 0.358
3 Hg 0.750 0.430 0.882
4 Hg 0.250 0.570 0.118
5 Hg 0.250 0.930 0.883
6 Hg 0.750 0.070 0.117
7 S 0.250 0.300 0.608
8 S 0.750 0.700 0.392

Properties
The value obtained for the calculated volume is 205.2 Å³/cell. For the total energy, the calculation gives -3.47 eV per atom. The space-group type is P2_1/m (11). The uncorrected formation energy is -1.053 eV/atom.